Entry 1:
{
  "formula": "CuTcAs2",
  "functional": "PBE",
  "state": "relaxed",
  "m_tot_mub_per_fu": 0.00,
  "formation_energy_mev_per_atom": 80,
  "sg": "No. 99",
  "energy_ev_per_cell": -23.44,
  "vol_a3_per_cell": 73,
  "lattice": [[-2.363, 0.165, -2.213], [0.480, -3.118, -0.745], [-4.640, -1.866, 4.816]],
  "species": ["As", "As", "Cu", "Tc"],
  "frac_coords": [[0.500, 0.500, 0.364], [0.000, 0.000, 0.896], [0.000, 0.000, 0.509], [0.500, 0.500, 0.730]]
}

=====

Entry 2:
{
  "formula": "NbHg2Ru",
  "functional": "PBE",
  "state": "relaxed",
  "m_tot_mub_per_fu": 0.00,
  "formation_energy_mev_per_atom": 459,
  "sg": "No. 225",
  "energy_ev_per_cell": -18.11,
  "vol_a3_per_cell": 72,
  "lattice": [[0.000, 3.304, 3.304], [3.304, 0.000, 3.304], [3.304, 3.304, 0.000]],
  "species": ["Ru", "Hg", "Hg", "Nb"],
  "frac_coords": [[0.500, 0.500, 0.500], [0.750, 0.750, 0.750], [0.250, 0.250, 0.250], [0.000, 0.000, 0.000]]
}

=====

Entry 3:
{
  "formula": "SrHI2N",
  "functional": "PBE",
  "state": "relaxed",
  "m_tot_mub_per_fu": 4.06,
  "sg": "No. 123",
  "energy_ev_per_cell": -13.70,
  "vol_a3_per_cell": 220,
  "lattice": [[6.482, 0.000, 0.000], [0.000, 6.482, 0.000], [0.000, 0.000, 5.236]],
  "species": ["I", "I", "N", "H", "Sr"],
  "frac_coords": [[0.500, 0.000, 0.000], [0.000, 0.500, 0.000], [0.000, 0.000, 0.500], [0.500, 0.500, 0.500], [0.000, 0.000, 0.000]]
}

=====

Entry 4:
{
  "formula": "Sr2TmGaS5",
  "functional": "PBE",
  "state": "relaxed",
  "m_tot_mub_per_fu": 0.00,
  "sg": "No. 36",
  "energy_ev_per_cell": -94.48,
  "vol_a3_per_cell": 434,
  "e_form_raw_ev_per_atom": -1.75,
  "lattice": [[3.933, 0.000, 0.000], [-1.966, 8.908, 0.000], [0.000, 0.000, 12.376]],
  "species": ["Sr", "Sr", "Sr", "Sr", "S", "S", "S", "S", "S", "S", "S", "S", "S", "S", "Ga", "Ga", "Tm", "Tm"],
  "frac_coords": [[0.117, 0.234, 0.682], [0.883, 0.766, 0.182], [0.127, 0.253, 0.322], [0.873, 0.747, 0.822], [0.317, 0.634, 0.373], [0.293, 0.586, 0.671], [0.498, 0.997, 0.774], [0.047, 0.094, 0.038], [0.646, 0.293, 0.505], [0.502, 0.003, 0.274], [0.953, 0.906, 0.538], [0.354, 0.707, 0.005], [0.707, 0.414, 0.171], [0.683, 0.366, 0.873], [0.557, 0.115, 0.933], [0.443, 0.885, 0.433], [0.792, 0.584, 0.526], [0.208, 0.416, 0.026]]
}

=====

Entry 5:
{
  "formula": "Tb8C3N",
  "functional": "PBE",
  "state": "relaxed",
  "m_tot_mub_per_fu": 1.88,
  "sg": "No. 166",
  "energy_ev_per_cell": -78.64,
  "vol_a3_per_cell": 274,
  "e_form_raw_ev_per_atom": -0.47,
  "lattice": [[-5.348, -2.382, 4.133], [3.173, -4.424, -4.656], [3.734, 2.116, 6.050]],
  "species": ["C", "C", "C", "Tb", "Tb", "Tb", "Tb", "Tb", "Tb", "Tb", "Tb", "N"],
  "frac_coords": [[0.500, 0.500, 0.000], [0.000, 0.500, 0.000], [0.500, 0.000, 0.000], [0.239, 0.478, 0.219], [0.761, 0.020, 0.781], [0.239, 0.980, 0.219], [0.761, 0.522, 0.781], [0.259, 0.020, 0.781], [0.259, 0.517, 0.776], [0.741, 0.980, 0.219], [0.741, 0.483, 0.224], [0.000, 0.000, 0.000]]
}

=====

Entry 6:
{
  "formula": "Pm3Sm12Pu",
  "functional": "PBE",
  "state": "relaxed",
  "m_tot_mub_per_fu": 6.19,
  "formation_energy_mev_per_atom": 43,
  "sg": "No. 123",
  "energy_ev_per_cell": -84.52,
  "vol_a3_per_cell": 536,
  "lattice": [[-4.131, 2.968, 0.593], [-0.784, -0.080, -5.060], [-11.671, -16.658, 2.072]],
  "species": ["Sm", "Sm", "Sm", "Sm", "Sm", "Sm", "Sm", "Sm", "Sm", "Sm", "Sm", "Sm", "Pm", "Pm", "Pm", "Pu"],
  "frac_coords": [[0.000, 0.500, 0.121], [0.500, 0.000, 0.626], [0.500, 0.000, 0.879], [0.500, 0.500, 0.000], [0.500, 0.000, 0.121], [0.500, 0.500, 0.248], [0.500, 0.000, 0.374], [0.500, 0.500, 0.500], [0.000, 0.500, 0.626], [0.500, 0.500, 0.752], [0.000, 0.500, 0.374], [0.000, 0.500, 0.879], [0.000, 0.000, 0.500], [0.000, 0.000, 0.248], [0.000, 0.000, 0.752], [0.000, 0.000, 0.000]]
}